Entry 1:
8
Lattice="-2.083 2.083 9.530 2.083 -2.083 9.530 2.083 2.083 -9.530" Properties=species:S:1:pos:R:3 comment="PBE-GGA Mg2BeCd, relaxed" n_ef_per_ev_cell=3.49 e_tot_ev_per_atom=-1.50 e_above_lowest_polymorph_mev_per_atom=306.6 vol_a3_per_cell=165 m_tot_mub_per_fu=0.000 pbc="T T T"
Mg 3.125 0.974 -2.383
Mg 0.974 1.042 2.383
Mg -1.042 1.109 7.148
Mg 1.109 1.042 11.913
Be 0.000 0.000 0.000
Be 0.000 2.083 4.765
Cd 2.083 0.000 4.765
Cd 0.000 0.000 9.530

***

Entry 2:
12
Lattice="11.411 -1.704 0.000 11.411 1.704 0.000 -3.068 0.000 9.480" Properties=species:S:1:pos:R:3 comment="PBE-GGA Tb3PrSc2, relaxed" n_ef_per_ev_cell=19.77 e_tot_ev_per_atom=-5.07 e_above_lowest_polymorph_mev_per_atom=133.1 vol_a3_per_cell=369 m_tot_mub_per_fu=0.000 pbc="T T T"
Tb 0.041 0.000 4.144
Tb 2.339 0.000 6.707
Tb 9.193 0.000 2.188
Tb 10.560 0.000 7.292
Tb 17.414 0.000 2.772
Tb 19.712 0.000 5.335
Pr 4.004 0.000 0.436
Pr 15.749 0.000 9.044
Sc 3.225 0.000 3.551
Sc 7.194 0.000 8.128
Sc 12.560 0.000 1.352
Sc 16.528 0.000 5.929

***

Entry 3:
4
Lattice="4.969 -1.426 0.000 4.969 1.426 0.000 -0.671 0.000 5.451" Properties=species:S:1:pos:R:3 comment="PBE-GGA ZrCd2Re, relaxed" n_ef_per_ev_cell=4.46 e_tot_ev_per_atom=-5.39 e_above_lowest_polymorph_mev_per_atom=152.9 vol_a3_per_cell=77 m_tot_mub_per_fu=0.000 pbc="T T T"
Zr 0.000 0.000 0.000
Cd 4.746 0.000 2.816
Cd 7.341 0.000 1.595
Re 1.971 0.000 4.349

***

Entry 4:
12
Lattice="3.714 -6.454 0.000 3.714 6.454 0.000 -2.488 0.000 7.162" Properties=species:S:1:pos:R:3 comment="PBE-GGA Ac3Pm2SmSe6, relaxed" n_ef_per_ev_cell=6.27 e_tot_ev_per_atom=-5.80 vol_a3_per_cell=343 e_form_raw_mev_per_atom=-1843 m_tot_mub_per_fu=0.000 pbc="T T T"
Ac 0.000 0.000 0.000
Ac 3.714 2.159 0.000
Ac 3.714 -2.159 0.000
Pm 2.469 4.304 3.581
Pm 2.469 -4.304 3.581
Sm 2.469 0.000 3.581
Se 1.241 2.143 1.927
Se 0.001 0.000 5.241
Se 1.241 -2.143 1.927
Se 3.698 2.143 5.235
Se 4.938 0.000 1.921
Se 3.698 -2.143 5.235

***

Entry 5:
8
Lattice="3.953 -5.592 0.000 3.953 5.592 0.000 0.000 0.000 3.954" Properties=species:S:1:pos:R:3 comment="PBE-GGA Pu3NpS4, relaxed" n_ef_per_ev_cell=30.67 e_tot_ev_per_atom=-10.71 vol_a3_per_cell=175 e_form_raw_mev_per_atom=-1654 m_tot_mub_per_fu=21.357 pbc="T T T"
Pu 0.000 0.000 0.000
Pu 1.976 2.796 1.977
Pu 1.976 -2.796 1.977
Np 3.953 0.000 0.000
S 3.953 2.782 0.000
S 1.994 0.000 1.977
S 5.912 0.000 1.977
S 3.953 -2.782 0.000

***

Entry 6:
10
Lattice="7.143 0.000 0.000 0.000 7.143 0.000 0.000 0.000 3.009" Properties=species:S:1:pos:R:3 comment="PBE-GGA InTc2P2, relaxed" n_ef_per_ev_cell=5.40 e_tot_ev_per_atom=-6.91 e_above_lowest_polymorph_mev_per_atom=176.2 vol_a3_per_cell=153 m_tot_mub_per_fu=0.000 pbc="T T T"
In 0.000 0.000 0.000
In 3.571 3.571 0.000
Tc 1.039 2.532 0.000
Tc 2.532 6.103 0.000
Tc 4.611 1.039 0.000
Tc 6.103 4.611 0.000
P 0.970 4.541 1.504
P 2.602 0.970 1.504
P 4.541 6.173 1.504
P 6.173 2.602 1.504

***

Entry 7:
12
Lattice="2.827 1.632 9.512 -2.827 1.632 9.512 0.000 -3.264 9.512" Properties=species:S:1:pos:R:3 comment="PBE-GGA Ca3AcGa8, relaxed" n_ef_per_ev_cell=5.48 e_tot_ev_per_atom=-3.31 vol_a3_per_cell=263 m_tot_mub_per_fu=0.000 pbc="T T T"
Ca 0.000 0.000 0.000
Ca 0.000 0.000 3.522
Ca 0.000 0.000 14.175
Ac 0.000 0.000 17.760
Ga 0.000 -1.630 6.403
Ga -1.411 0.815 6.403
Ga -1.411 -0.815 11.281
Ga 0.000 0.000 8.866
Ga 1.411 0.815 6.403
Ga 1.411 -0.815 11.281
Ga 0.000 1.629 11.281
Ga 0.000 0.000 23.116

***

Entry 8:
12
Lattice="7.839 -1.815 0.000 7.839 1.815 0.000 -1.522 0.000 7.041" Properties=species:S:1:pos:R:3 comment="PBE-GGA Ce6C3O2F, relaxed" n_ef_per_ev_cell=15.55 e_tot_ev_per_atom=-7.80 vol_a3_per_cell=200 e_form_raw_mev_per_atom=-1543 m_tot_mub_per_fu=0.001 pbc="T T T"
Ce 15.310 0.000 1.686
Ce -1.153 0.000 5.355
Ce 4.545 0.000 2.912
Ce 3.818 0.000 6.461
Ce 10.339 0.000 0.581
Ce 9.612 0.000 4.130
C 2.109 0.000 2.354
C 7.839 0.000 0.000
C 12.048 0.000 4.687
O 1.355 0.000 5.871
O 12.803 0.000 1.170
F 7.079 0.000 3.521

***

Entry 9:
4
Lattice="0.000 3.598 3.598 3.598 0.000 3.598 3.598 3.598 0.000" Properties=species:S:1:pos:R:3 comment="PBE-GGA TlTcCl2, relaxed" n_ef_per_ev_cell=4.93 e_tot_ev_per_atom=-3.56 e_above_lowest_polymorph_mev_per_atom=708.8 vol_a3_per_cell=93 e_form_raw_mev_per_atom=546 m_tot_mub_per_fu=3.995 pbc="T T T"
Tl 0.000 0.000 0.000
Tc 5.398 5.398 5.398
Cl 1.799 1.799 1.799
Cl 3.598 3.598 3.598

***

Entry 10:
4
Lattice="0.000 3.401 3.401 3.401 0.000 3.401 3.401 3.401 0.000" Properties=species:S:1:pos:R:3 comment="PBE-GGA PaTcSnPd, relaxed" n_ef_per_ev_cell=5.45 e_tot_ev_per_atom=-7.54 vol_a3_per_cell=79 m_tot_mub_per_fu=0.001 pbc="T T T"
Pa 0.000 0.000 0.000
Tc 5.102 5.102 5.102
Sn 3.401 3.401 3.401
Pd 1.701 1.701 1.701

***

Entry 11:
6
Lattice="4.301 0.000 0.000 0.000 4.301 0.000 0.000 0.000 8.003" Properties=species:S:1:pos:R:3 comment="PBE-GGA HoTiPb, relaxed" n_ef_per_ev_cell=4.83 e_tot_ev_per_atom=-5.68 vol_a3_per_cell=148 m_tot_mub_per_fu=0.465 pbc="T T T"
Ho 1.075 1.075 1.325
Ho 3.226 3.226 6.678
Ti 1.075 3.226 4.002
Ti 3.226 1.075 4.002
Pb 1.075 1.075 6.067
Pb 3.226 3.226 1.936

***

Entry 12:
16
Lattice="5.345 -5.141 0.000 5.345 5.141 0.000 -4.853 0.000 8.727" Properties=species:S:1:pos:R:3 comment="PBE-GGA Pa2AgS5, relaxed" n_ef_per_ev_cell=7.12 e_tot_ev_per_atom=-6.47 vol_a3_per_cell=480 e_form_raw_mev_per_atom=-1164 m_tot_mub_per_fu=1.073 pbc="T T T"
Pa 0.000 0.000 0.000
Pa -2.427 0.000 4.364
Pa 2.673 2.570 0.000
Pa 0.246 -2.570 4.364
Ag 1.705 0.980 6.545
Ag 4.132 -0.980 2.182
S 4.132 3.697 2.182
S 0.229 2.738 7.709
S 0.168 0.029 4.873
S 2.594 -0.029 0.510
S 3.182 2.738 5.382
S 2.656 -2.738 3.346
S 3.243 0.029 8.217
S 5.670 -0.029 3.854
S 5.608 -2.738 1.018
S 1.705 -3.697 6.545

***

Entry 13:
4
Lattice="0.000 3.497 3.497 3.497 0.000 3.497 3.497 3.497 0.000" Properties=species:S:1:pos:R:3 comment="PBE-GGA LiSmTmTc, relaxed" n_ef_per_ev_cell=3.72 e_tot_ev_per_atom=-5.38 vol_a3_per_cell=86 m_tot_mub_per_fu=0.000 pbc="T T T"
Li 0.000 0.000 0.000
Sm 5.246 5.246 5.246
Tm 1.749 1.749 1.749
Tc 3.497 3.497 3.497

***

Entry 14:
14
Lattice="7.489 0.000 0.000 0.000 7.489 0.000 0.000 0.000 7.489" Properties=species:S:1:pos:R:3 comment="PBE-GGA DyCd3Au3, relaxed" n_ef_per_ev_cell=9.02 e_tot_ev_per_atom=-2.16 vol_a3_per_cell=420 m_tot_mub_per_fu=0.000 pbc="T T T"
Dy 0.000 0.000 0.000
Dy 3.744 3.744 3.744
Cd 0.000 1.872 3.744
Cd 0.000 5.616 3.744
Cd 1.872 3.744 0.000
Cd 3.744 0.000 1.872
Cd 3.744 0.000 5.616
Cd 5.616 3.744 0.000
Au 0.000 3.744 1.872
Au 0.000 3.744 5.616
Au 1.872 0.000 3.744
Au 3.744 1.872 0.000
Au 3.744 5.616 0.000
Au 5.616 0.000 3.744

***

Entry 15:
8
Lattice="-2.171 4.139 5.186 2.171 -4.139 5.186 2.171 4.139 -5.186" Properties=species:S:1:pos:R:3 comment="PBE-GGA PmMg5Ag2, relaxed" n_ef_per_ev_cell=5.27 e_tot_ev_per_atom=-2.46 vol_a3_per_cell=186 m_tot_mub_per_fu=0.000 pbc="T T T"
Pm 0.000 0.000 0.000
Mg 2.171 2.587 -1.593
Mg 2.171 2.587 1.593
Mg 0.000 4.139 0.000
Mg 0.000 1.552 3.593
Mg 0.000 1.552 6.780
Ag 2.171 0.000 2.432
Ag 0.000 4.139 2.755

***

Entry 16:
10
Lattice="7.526 0.000 0.000 -3.761 6.527 0.000 -3.762 -2.170 6.588" Properties=species:S:1:pos:R:3 comment="PBE-GGA NaInPb2Cl6, relaxed" n_ef_per_ev_cell=0.00 e_tot_ev_per_atom=-3.47 vol_a3_per_cell=324 e_form_raw_mev_per_atom=-1210 m_tot_mub_per_fu=0.000 pbc="T T T"
Na 0.000 0.000 0.000
In 3.762 2.180 3.033
Pb 0.000 4.351 0.550
Pb 0.001 0.002 3.986
Cl -2.596 0.163 5.361
Cl -0.811 1.975 2.008
Cl 2.116 -0.282 2.007
Cl -2.599 4.196 5.359
Cl 1.435 2.177 5.364
Cl 2.461 4.841 2.012

***

Entry 17:
4
Lattice="1.522 0.879 7.767 -1.522 0.879 7.767 0.000 -1.757 7.767" Properties=species:S:1:pos:R:3 comment="PBE-GGA CdSi2Ni, relaxed" n_ef_per_ev_cell=1.59 e_tot_ev_per_atom=-4.27 vol_a3_per_cell=62 e_form_raw_mev_per_atom=120 m_tot_mub_per_fu=0.000 pbc="T T T"
Cd 0.000 0.000 0.000
Si 0.000 0.000 11.899
Si 0.000 0.000 17.838
Ni 0.000 0.000 5.626

***

Entry 18:
4
Lattice="3.023 0.000 0.000 0.000 3.982 0.000 0.000 0.000 5.250" Properties=species:S:1:pos:R:3 comment="PBE-GGA TcAs2Ru, relaxed" n_ef_per_ev_cell=3.86 e_tot_ev_per_atom=-6.93 e_above_lowest_polymorph_mev_per_atom=425.8 vol_a3_per_cell=63 m_tot_mub_per_fu=0.000 pbc="T T T"
Tc 0.000 0.000 0.000
As 0.000 1.991 2.625
As 1.512 1.991 0.000
Ru 1.512 0.000 2.625

***

Entry 19:
14
Lattice="0.000 4.933 4.933 4.933 0.000 4.933 4.933 4.933 0.000" Properties=species:S:1:pos:R:3 comment="PBE-GGA Co5NiSe8, relaxed" n_ef_per_ev_cell=8.97 e_tot_ev_per_atom=-5.26 vol_a3_per_cell=240 e_form_raw_mev_per_atom=-313 m_tot_mub_per_fu=0.004 pbc="T T T"
Co 0.000 0.000 0.000
Co 6.166 3.700 3.700
Co 3.700 6.166 3.700
Co 3.700 3.700 6.166
Co 6.166 6.166 6.166
Ni 2.467 2.467 2.467
Se 3.793 3.793 3.793
Se 6.073 6.073 3.793
Se 6.073 3.793 6.073
Se 8.560 6.239 6.239
Se 3.793 6.073 6.073
Se 6.239 8.560 6.239
Se 6.239 6.239 8.560
Se 8.560 8.560 8.560

***

Entry 20:
4
Lattice="0.000 2.970 2.970 2.970 0.000 2.970 2.970 2.970 0.000" Properties=species:S:1:pos:R:3 comment="PBE-GGA Mn2OsCl, relaxed" n_ef_per_ev_cell=4.86 e_tot_ev_per_atom=-6.79 e_above_lowest_polymorph_mev_per_atom=986.8 vol_a3_per_cell=52 e_form_raw_mev_per_atom=1068 m_tot_mub_per_fu=0.000 pbc="T T T"
Mn 1.485 1.485 1.485
Mn 4.454 4.454 4.454
Os 0.000 0.000 0.000
Cl 2.970 2.970 2.970